Here is a relaxed structure of YBeHg2 from Alexandria. Energies are from GGA-PBE.

Geometry as extended XYZ:
```
4
Lattice="-4.1603 -1.0437 0.1297 -1.2109 -3.6706 1.8640 -2.3103 0.9575 5.3792" Properties=species:S:1:pos:R:3 pbc="T T T"
Y -1.9204 -0.9392 1.8432
Be -5.7611 -2.8176 5.5297
Hg -2.2606 0.7372 4.9611
Hg -3.8904 -1.6581 4.1046
```

Values from the calculation:
V in Å³ per atom: 21.5
Total magnetization in μB per cell: 0.0
Energy in eV per cell: -11.168
E_form in meV/atom: -93.4

Here is a relaxed structure of TlTcAu2 from Alexandria. Energies are from GGA-PBE.

Geometry as extended XYZ:
```
4
Lattice="5.0436 -0.0360 0.0000 1.3715 4.8536 0.0000 -3.2075 -2.4088 3.0575" Properties=species:S:1:pos:R:3 pbc="T T T"
Au 0.0000 0.0000 0.0000
Au 0.6858 2.4268 1.5287
Tc 3.2075 2.4088 0.0000
Tl 2.5218 -0.0180 1.5287
```

Values from the calculation:
V in Å³ per atom: 18.7
Total magnetization in μB per cell: 2.1
Energy in eV per cell: -17.205
Distance to the lowest polymorph of the same formula in eV per atom: 0.117
E_form in meV/atom: 520.5

Here is a relaxed structure of CaRhPb2 from Alexandria. Energies are from GGA-PBE.

Geometry as extended XYZ:
```
4
Lattice="-3.6337 2.5556 4.0957 0.6914 -2.1834 5.5915 2.6686 2.8727 -4.5974" Properties=species:S:1:pos:R:3 pbc="T T T"
Pb -0.1135 0.0144 0.3736
Pb -1.3577 0.1717 4.4700
Ca -1.2181 2.8072 2.1710
Rh 0.9444 0.4377 2.9188
```

Values from the calculation:
V in Å³ per atom: 25.0
Total magnetization in μB per cell: 0.0
Energy in eV per cell: -17.825
E_form in meV/atom: -263.9

Here is a relaxed structure of Pr2Ga5Ni from Alexandria. Energies are from GGA-PBE.

Geometry as extended XYZ:
```
8
Lattice="6.3066 -0.1414 -0.2015 -3.2280 5.4197 0.2015 -3.2280 -1.6542 5.1650" Properties=species:S:1:pos:R:3 pbc="T T T"
Pr -0.0074 0.0043 3.7674
Pr -0.0074 3.5412 1.2856
Ga -1.8041 2.6145 3.7261
Ga -3.1639 3.4075 1.5338
Ga -3.1639 0.2831 3.7261
Ga 1.7829 0.9348 1.3323
Ga -1.7493 1.0203 1.4541
Ni -0.0756 0.0441 0.0628
```

Values from the calculation:
V in Å³ per atom: 21.5
Total magnetization in μB per cell: 0.0
Energy in eV per cell: -34.279
E_form in meV/atom: -475.5

Here is a relaxed structure of VZnNi from Alexandria. Energies are from GGA-PBE.

Geometry as extended XYZ:
```
6
Lattice="2.9805 0.0000 0.0000 0.0000 2.9805 0.0000 0.0000 0.0000 8.6410" Properties=species:S:1:pos:R:3 pbc="T T T"
V 0.0000 1.4903 5.0604
V 1.4903 0.0000 3.5806
Zn 1.4903 0.0000 0.7937
Zn 0.0000 1.4903 7.8473
Ni 0.0000 1.4903 2.2157
Ni 1.4903 0.0000 6.4253
```

Values from the calculation:
V in Å³ per atom: 12.8
Total magnetization in μB per cell: 0.7
Energy in eV per cell: -33.141
E_form in meV/atom: -132.2

Here is a relaxed structure of LiCoP2Ir from Alexandria. Energies are from GGA-PBE.

Geometry as extended XYZ:
```
5
Lattice="3.8444 0.0000 0.0000 0.0000 3.8444 0.0000 -1.9222 -1.9222 4.7311" Properties=species:S:1:pos:R:3 pbc="T T T"
Li 0.0000 0.0000 0.0000
Co 1.9222 0.0000 2.3656
P 1.9222 1.9222 1.1143
P 0.0000 0.0000 3.6168
Ir 0.0000 1.9222 2.3656
```

Values from the calculation:
V in Å³ per atom: 14.0
Total magnetization in μB per cell: 0.0
Energy in eV per cell: -31.695
E_form in meV/atom: -598.8

Here is a relaxed structure of TmSbIrO6 from Alexandria. Energies are from GGA-PBE.

Geometry as extended XYZ:
```
18
Lattice="-3.1439 -2.3299 3.5154 5.0289 0.9670 1.2027 -2.3494 8.1297 3.2869" Properties=species:S:1:pos:R:3 pbc="T T T"
Tm 1.7173 1.9005 2.7953
Tm -2.1817 4.8663 5.2097
Sb 0.0000 0.0000 0.0000
Sb -1.1747 4.0648 1.6435
Ir -1.0070 0.8015 3.5663
Ir 0.5426 5.9653 4.4388
O 0.8822 0.0316 3.5969
O -1.7637 -0.9807 4.2096
O 2.4535 5.2592 4.3272
O 1.2993 7.7475 3.7955
O -0.3698 2.5906 2.8206
O -0.6395 1.4422 5.4682
O 0.7689 6.5490 6.3807
O -2.9180 1.5076 3.6778
O 0.1751 5.3246 2.5369
O -1.2333 0.2178 1.6244
O -0.0947 4.1762 5.1844
O -1.3466 6.7352 4.4081
```

Values from the calculation:
Formation energy (no corrections) in kJ/mol of atoms: -161.67
V in Å³ per atom: 12.1
Total magnetization in μB per cell: 1.6
Energy in eV per cell: -124.569

Here is a relaxed structure of Re2Br2F from Alexandria. Energies are from GGA-PBE.

Geometry as extended XYZ:
```
10
Lattice="-7.0569 -3.3593 1.4544 3.3979 -4.8363 5.3164 -0.5172 2.0285 2.1759" Properties=species:S:1:pos:R:3 pbc="T T T"
Re 1.0730 -2.2267 4.4259
Re -1.4387 -5.3534 6.7438
Re -5.2491 -3.9404 4.5208
Re -2.7374 -0.8137 2.2029
Br 0.5907 -4.9005 4.7090
Br -3.2971 -6.0686 4.8738
Br -4.2497 -3.2951 2.0618
Br -0.3618 -2.1270 1.8969
F 0.0000 0.0000 0.0000
F -1.8295 -4.0978 3.3854
```

Values from the calculation:
Formation energy (no corrections) in kJ/mol of atoms: 96.53
V in Å³ per atom: 19.1
Total magnetization in μB per cell: 0.0
Energy in eV per cell: -50.222
Distance to the lowest polymorph of the same formula in eV per atom: 0.411

Here is a relaxed structure of La3Rh from Alexandria. Energies are from GGA-PBE.

Geometry as extended XYZ:
```
8
Lattice="3.8715 -6.7057 0.0000 3.8715 6.7057 0.0000 0.0000 0.0000 4.5103" Properties=species:S:1:pos:R:3 pbc="T T T"
La 3.8715 -4.2148 1.1276
La 3.8715 4.2148 3.3827
La 5.5859 -1.2454 1.1276
La 2.1572 1.2454 3.3827
La 2.1572 -1.2454 1.1276
La 5.5859 1.2454 3.3827
Rh 3.8715 2.2352 1.1276
Rh 3.8715 -2.2352 3.3827
```

Values from the calculation:
V in Å³ per atom: 29.3
Total magnetization in μB per cell: 0.0
Energy in eV per cell: -45.818
E_form in meV/atom: -193.9

Here is a relaxed structure of MgAlZn2 from Alexandria. Energies are from GGA-PBE.

Geometry as extended XYZ:
```
4
Lattice="-2.4897 1.4612 1.5372 0.9184 -1.3940 2.8125 3.8206 5.1413 1.3007" Properties=species:S:1:pos:R:3 pbc="T T T"
Al 1.7967 2.4177 0.6116
Mg 2.1192 3.9426 3.1638
Zn 0.1021 0.1374 0.0348
Zn 0.1417 1.2815 2.4905
```

Values from the calculation:
V in Å³ per atom: 17.5
Total magnetization in μB per cell: 0.0
Energy in eV per cell: -7.751
E_form in meV/atom: 33.4

Here is a relaxed structure of FeSiIr from Alexandria. Energies are from GGA-PBE.

Geometry as extended XYZ:
```
3
Lattice="4.0893 0.0000 0.0000 -2.0447 3.5415 0.0000 0.0000 0.0000 2.7854" Properties=species:S:1:pos:R:3 pbc="T T T"
Fe 0.0000 0.0000 2.7842
Ir 0.0000 2.3610 1.3907
Si 2.0447 1.1805 1.3959
```

Values from the calculation:
Formation energy (no corrections) in kJ/mol of atoms: -31.47
V in Å³ per atom: 13.4
Total magnetization in μB per cell: 2.8
Energy in eV per cell: -23.725

Here is a relaxed structure of Sr2BeTlO5 from Alexandria. Energies are from GGA-PBE.

Geometry as extended XYZ:
```
18
Lattice="-0.4851 -3.3470 -0.2154 7.1087 0.6465 0.6010 -0.8600 -0.5693 10.7852" Properties=species:S:1:pos:R:3 pbc="T T T"
Sr 4.0591 -2.9005 9.2701
Sr 0.7832 -0.5893 7.3942
Sr 1.5564 -0.4674 3.7570
Sr 5.1068 -2.5968 2.1911
Be -0.2961 -2.3032 9.7991
Be 5.7781 -1.1530 4.9023
Tl 3.4891 -2.6058 5.9748
Tl 2.6425 -0.4204 0.5808
O 4.8025 -0.7271 0.4809
O 1.3310 -2.5310 9.6734
O 6.1321 -1.4690 9.0161
O 3.3874 -0.9799 7.5973
O 5.6874 -2.9020 5.6257
O 1.3694 -2.2723 5.5675
O 4.1895 -0.8998 4.5456
O -0.4384 -1.8470 3.0303
O 2.5000 -2.2079 2.0198
O -0.3354 -0.6403 10.7067
```

Values from the calculation:
Formation energy (no corrections) in kJ/mol of atoms: -183.22
V in Å³ per atom: 14.2
Total magnetization in μB per cell: 2.1
Energy in eV per cell: -102.675